(1)
The following is a PBE-GGA calculation of crystalline YScAu2 at its relaxed geometry, from Alexandria via LeMat-Bulk.

a = 4.9716 Å, b = 4.9716 Å, c = 4.9716 Å
α = 60.00°, β = 60.00°, γ = 60.00°
Element x y z (fractional)
Y  0.0000  0.0000  0.0000
Sc  0.5000  0.5000  0.5000
Au  0.2500  0.2500  0.2500
Au  0.7500  0.7500  0.7500

Properties
**Energy of formation**: -809.8 meV/atom
**Energy above the most stable polymorph in this dataset**: 18 meV/atom
**Crystal system**: cubic

=====

(2)
The following is a PBE-GGA calculation of crystalline NaReNi at its relaxed geometry, from Alexandria via LeMat-Bulk.

a = 5.1784 Å, b = 5.1784 Å, c = 5.1784 Å
α = 123.52°, β = 116.12°, γ = 90.43°
Element x y z (fractional)
Na  0.3840  0.1340  0.2500
Na  0.6160  0.8660  0.7500
Re  0.0000  0.0000  0.5000
Re  0.0000  0.5000  0.0000
Ni  0.0000  0.5000  0.5000
Ni  0.5000  0.5000  0.0000

Properties
**Energy of formation**: 639.5 meV/atom
**Energy above the most stable polymorph in this dataset**: 394 meV/atom
**Crystal system**: orthorhombic

=====

(3)
The following is a PBE-GGA calculation of crystalline Tb2GdIn at its relaxed geometry, from Alexandria via LeMat-Bulk.

a = 3.5992 Å, b = 3.5992 Å, c = 9.2144 Å
α = 90.00°, β = 90.00°, γ = 90.00°
Element x y z (fractional)
Tb  0.0000  0.0000  0.2253
Tb  0.0000  0.0000  0.7747
Gd  0.5000  0.5000  0.5000
In  0.5000  0.5000  0.0000

Properties
**Energy of formation**: -224.5 meV/atom
**Energy above the most stable polymorph in this dataset**: 59 meV/atom
**Crystal system**: tetragonal

=====

(4)
The following is a PBE-GGA calculation of crystalline TiInTc2F at its relaxed geometry, from Alexandria via LeMat-Bulk.

a = 4.1956 Å, b = 4.1956 Å, c = 4.6227 Å
α = 90.00°, β = 90.00°, γ = 90.00°
Element x y z (fractional)
Ti  0.0000  0.0000  0.0000
In  0.5000  0.5000  0.0000
Tc  0.0000  0.5000  0.5000
Tc  0.5000  0.0000  0.5000
F  0.5000  0.5000  0.5000

Properties
**Formation energy without anion corrections**: 391 meV per atom
**Crystal system**: tetragonal

=====

(5)
The following is a PBE-GGA calculation of crystalline CuHgAs2 at its relaxed geometry, from Alexandria via LeMat-Bulk.

a = 3.8866 Å, b = 3.8866 Å, c = 5.0960 Å
α = 90.00°, β = 90.00°, γ = 90.00°
Element x y z (fractional)
Cu  0.0000  0.0000  0.0000
Hg  0.5000  0.5000  0.0000
As  0.0000  0.5000  0.5000
As  0.5000  0.0000  0.5000

Properties
**Energy of formation**: 397.8 meV/atom
**Crystal system**: tetragonal

=====

(6)
The following is a PBE-GGA calculation of crystalline LiCeMg2Au4 at its relaxed geometry, from Alexandria via LeMat-Bulk.

a = 8.8466 Å, b = 8.8466 Å, c = 8.8466 Å
α = 30.67°, β = 30.67°, γ = 30.67°
Element x y z (fractional)
Li  0.0000  0.0000  0.0000
Ce  0.5000  0.5000  0.5000
Mg  0.2614  0.2614  0.2614
Mg  0.7386  0.7386  0.7386
Au  0.1049  0.1049  0.1049
Au  0.3736  0.3736  0.3736
Au  0.6264  0.6264  0.6264
Au  0.8951  0.8951  0.8951

Properties
**Energy of formation**: -609.1 meV/atom
**Crystal system**: trigonal

=====

One value per record, in order, for density of states at the Fermi level: 1.8, 7.0, 4.6, 6.0, 2.9, 8.1 states/eV/cell.
One value per record, in order, for DFT total energy: -5.65, -5.88, -6.74, -6.26, -3.03, -3.63 eV/atom.